(1)
# PrTlNi PBE relaxed
data_PrTlNi
_chemical_formula_sum 'Pr4 Tl4 Ni4'
_space_group_name_H-M_alt 'F -4 3 m'
_space_group_IT_number 216
_space_group_name_Hall 'F -4 2 3'
_cell_length_a 7.0161
_cell_length_b 7.0161
_cell_length_c 7.0161
_cell_angle_alpha 90.00
_cell_angle_beta 90.00
_cell_angle_gamma 90.00
loop_
_atom_site_label
_atom_site_fract_x
_atom_site_fract_y
_atom_site_fract_z
_atom_site_occupancy
Pr1 0.0000 0.0000 0.0000 1
Tl1 0.2500 0.2500 0.7500 1
Ni1 0.2500 0.2500 0.2500 1
# density = 7.77 g/cm3
# spin magnetization = 0.0 Bohr magnetons per cell
# crystal system = cubic
# E = -3.853 eV/atom

(2)
# PrYTlNi2 PBE relaxed
data_PrYTlNi2
_chemical_formula_sum 'Pr2 Y2 Tl2 Ni4'
_space_group_name_H-M_alt 'A m m 2'
_space_group_IT_number 38
_cell_length_a 3.7800
_cell_length_b 3.9891
_cell_length_c 14.6499
_cell_angle_alpha 90.00
_cell_angle_beta 90.00
_cell_angle_gamma 90.00
loop_
_space_group_symop_operation_xyz
'x,y,z'
'-x,-y,z'
'-x,y,z'
'x,-y,z'
'x,y+1/2,z+1/2'
'-x,-y+1/2,z+1/2'
'-x,y+1/2,z+1/2'
'x,-y+1/2,z+1/2'
loop_
_atom_site_label
_atom_site_fract_x
_atom_site_fract_y
_atom_site_fract_z
_atom_site_occupancy
Pr1 0.0000 0.0000 0.0000 1
Y1 0.0000 0.0000 0.2757 1
Tl1 0.5000 0.0000 0.6418 1
Ni1 0.5000 0.0000 0.4327 1
Ni2 0.5000 0.0000 0.8367 1
# density = 8.29 g/cm3
# spin magnetization = 0.0 Bohr magnetons per cell
# crystal system = orthorhombic
# E = -5.373 eV/atom

(3)
# PrY2Tl3Ni3 PBE relaxed
data_PrY2Tl3Ni3
_chemical_formula_sum 'Pr2 Y4 Tl6 Ni6'
_space_group_name_H-M_alt 'A m m 2'
_space_group_IT_number 38
_cell_length_a 3.8437
_cell_length_b 13.1788
_cell_length_c 7.6514
_cell_angle_alpha 90.00
_cell_angle_beta 90.00
_cell_angle_gamma 90.00
loop_
_space_group_symop_operation_xyz
'x,y,z'
'-x,-y,z'
'-x,y,z'
'x,-y,z'
'x,y+1/2,z+1/2'
'-x,-y+1/2,z+1/2'
'-x,y+1/2,z+1/2'
'x,-y+1/2,z+1/2'
loop_
_atom_site_label
_atom_site_fract_x
_atom_site_fract_y
_atom_site_fract_z
_atom_site_occupancy
Pr1 0.0000 0.0000 0.0000 1
Y1 0.0000 0.2039 0.6148 1
Tl1 0.5000 0.0000 0.6646 1
Tl2 0.5000 0.1321 0.2836 1
Ni1 0.0000 0.0000 0.4106 1
Ni2 0.5000 0.1683 0.9104 1
# density = 9.49 g/cm3
# spin magnetization = 0.0 Bohr magnetons per cell
# crystal system = orthorhombic
# E = -4.949 eV/atom

- Which value of density does entry 1 give?
  7.77 g/cm3

- What is the spin magnetization in the third record?
  0.0 Bohr magnetons per cell